DFT (PBE) results for a geometry-optimized Li4SnPd3 structure.

Computed properties:
**Calculated volume**: 123.6 Å³ per cell
**Energy of formation**: -446 meV/atom
**Crystal system**: monoclinic
**Total magnetic moment**: 0.00 Bohr magnetons per cell
**Space group**: C2/m, No. 12

Unit cell a=3.204 b=4.428 c=9.123 alpha=76.18 beta=100.11 gamma=90.00
Atoms (fractional coordinates):
Sn: 0.500 0.000 0.000
Li: 0.755 0.745 0.511
Li: 0.620 0.381 0.241
Li: 0.245 0.255 0.489
Pd: 0.132 0.870 0.263
Pd: 0.000 0.500 0.000
Pd: 0.868 0.130 0.737
Li: 0.380 0.619 0.759

DFT (PBE) results for a geometry-optimized Li2Sn2Pd7 structure.

Computed properties:
**Calculated volume**: 184.5 Å³ per cell
**Energy of formation**: -388 meV/atom
**Crystal system**: monoclinic
**Total magnetic moment**: 0.00 Bohr magnetons per cell
**Space group**: C2/m, No. 12

Unit cell a=5.056 b=6.348 c=6.348 alpha=93.94 beta=106.63 gamma=106.63
Atoms (fractional coordinates):
Sn: 0.046 0.253 0.253
Pd: 0.500 0.000 0.000
Pd: 0.687 0.927 0.424
Pd: 0.661 0.392 0.392
Li: 0.000 0.760 0.240
Pd: 0.313 0.576 0.073
Pd: 0.339 0.608 0.608
Pd: 0.313 0.073 0.576
Sn: 0.954 0.747 0.747
Li: 0.000 0.240 0.760
Pd: 0.687 0.424 0.927